TiSi2IrPb | GGA-PBE | optimized geometry

Output
* Fermi-level density of states: 4.4 states/eV per cell
* space-group type: P4/mmm (123)
* ΔE_f (raw): 0.61 eV per atom

Cell lengths 4.4702, 4.4702, 6.0168 Å; angles 90.00, 90.00, 90.00 degrees
Fractional positions:
1 Ti 0.0000 0.0000 0.0000
2 Si 0.0000 0.5000 0.5000
3 Si 0.5000 0.0000 0.5000
4 Ir 0.5000 0.5000 0.5000
5 Pb 0.5000 0.5000 0.0000

ScGa3Pd2 | GGA-PBE | optimized geometry

Output
* Fermi-level density of states: 5.6 states/eV per cell
* space-group type: P-3m1 (164)
* formation enthalpy at 0 K: -0.58 eV/atom

Cell lengths 5.9153, 5.9153, 6.5811 Å; angles 90.00, 90.00, 120.00 degrees
Fractional positions:
1 Sc 0.3333 0.6667 0.1500
2 Sc 0.6667 0.3333 0.8500
3 Ga 0.1658 0.3317 0.8056
4 Ga 0.1658 0.8342 0.8056
5 Ga 0.3317 0.1658 0.1944
6 Ga 0.6683 0.8342 0.8056
7 Ga 0.8342 0.1658 0.1944
8 Ga 0.8342 0.6683 0.1944
9 Pd 0.0000 0.0000 0.5000
10 Pd 0.0000 0.5000 0.5000
11 Pd 0.5000 0.0000 0.5000
12 Pd 0.5000 0.5000 0.5000

Pm2PuRh | GGA-PBE | optimized geometry

Output
* Fermi-level density of states: 7.4 states/eV per cell
* space-group type: P4/mmm (123)
* formation enthalpy at 0 K: -0.23 eV/atom
* distance to the lowest polymorph of the same formula: 0.0000 eV per atom

Cell lengths 3.5530, 3.5530, 8.5248 Å; angles 90.00, 90.00, 90.00 degrees
Fractional positions:
1 Pm 0.0000 0.0000 0.1982
2 Pm 0.0000 0.0000 0.8018
3 Pu 0.5000 0.5000 0.5000
4 Rh 0.5000 0.5000 0.0000

CeTmNi2 | GGA-PBE | optimized geometry

Output
* Fermi-level density of states: 5.0 states/eV per cell
* space-group type: Pm (6)
* formation enthalpy at 0 K: -0.42 eV/atom

Cell lengths 3.5786, 4.3410, 5.3659 Å; angles 90.00, 109.36, 90.00 degrees
Fractional positions:
1 Ce 0.0000 0.0000 0.0000
2 Tm 0.7271 0.5000 0.4529
3 Ni 0.2871 0.0000 0.5728
4 Ni 0.4446 0.5000 0.8902

RbTbZnSe3 | GGA-PBE | optimized geometry

Output
* Fermi-level density of states: 0.0 states/eV per cell
* space-group type: P2_1/m (11)
* ΔE_f (raw): -1.39 eV per atom

Cell lengths 9.3982, 4.1762, 10.0742 Å; angles 90.00, 109.50, 90.00 degrees
Fractional positions:
1 Rb 0.2117 0.2500 0.2386
2 Rb 0.7883 0.7500 0.7614
3 Tb 0.3302 0.7500 0.8604
4 Tb 0.6698 0.2500 0.1396
5 Zn 0.0830 0.2500 0.6085
6 Zn 0.9170 0.7500 0.3915
7 Se 0.1143 0.2500 0.8585
8 Se 0.1981 0.7500 0.5393
9 Se 0.4673 0.7500 0.1580
10 Se 0.5327 0.2500 0.8420
11 Se 0.8019 0.2500 0.4607
12 Se 0.8857 0.7500 0.1415

K2BiSe3 | GGA-PBE | optimized geometry

Output
* Fermi-level density of states: 4.5 states/eV per cell
* space-group type: Immm (71)
* ΔE_f (raw): -0.69 eV per atom

Cell lengths 8.3682, 8.3682, 8.3682 Å; angles 151.93, 135.71, 53.26 degrees
Fractional positions:
1 K 0.1749 0.1749 0.0000
2 K 0.8251 0.8251 0.0000
3 Bi 0.5000 0.5000 0.0000
4 Se 0.0000 0.5000 0.5000
5 Se 0.3617 0.8617 0.5000
6 Se 0.6383 0.1383 0.5000

- Among the records above, which one has the highest Fermi-level density of states?
  Pm2PuRh

- Which of these has the lowest Fermi-level density of states?
  RbTbZnSe3

- Which formula does entry 5 have?
  RbTbZnSe3